[1]
Nb5Si3P: optimized geometry, PBE.

Lattice parameters (Å, degrees): 7.7385 7.7385 5.5223 90.00 90.00 120.00
Closest atoms and distances in Å follow each position.
Positions (direct):
Nb (0.3333, 0.6667, 0.0000)  6 Si 2.74, 2 Nb 2.76
P (0.0000, 0.0000, 0.0000)  6 Nb 2.45
Nb (0.3333, 0.6667, 0.5000)  6 Si 2.74, 2 Nb 2.76
Nb (0.2616, 0.0000, 0.7500)  2 P 2.45, 3 Si 2.62-2.73
Si (0.4004, 0.4004, 0.7500)  7 Nb 2.62-2.74
Nb (0.7384, 0.7384, 0.7500)  2 P 2.45, 3 Si 2.62-2.73
Si (0.5996, 0.0000, 0.7500)  7 Nb 2.62-2.74
Si (0.4004, 0.0000, 0.2500)  7 Nb 2.62-2.74
Nb (0.0000, 0.2616, 0.7500)  2 P 2.45, 3 Si 2.62-2.73
Nb (0.2616, 0.2616, 0.2500)  2 P 2.45, 3 Si 2.62-2.73
Si (0.5996, 0.5996, 0.2500)  7 Nb 2.62-2.74
Si (0.0000, 0.5996, 0.7500)  7 Nb 2.62-2.74
Nb (0.7384, 0.0000, 0.2500)  2 P 2.45, 3 Si 2.62-2.73
P (0.0000, 0.0000, 0.5000)  6 Nb 2.45
Si (0.0000, 0.4004, 0.2500)  7 Nb 2.62-2.74
Nb (0.0000, 0.7384, 0.2500)  2 P 2.45, 3 Si 2.62-2.73
Nb (0.6667, 0.3333, 0.5000)  6 Si 2.74, 2 Nb 2.76
Nb (0.6667, 0.3333, 0.0000)  6 Si 2.74, 2 Nb 2.76

Summary:
energy = -8.653 eV per atom
space group = P6_3/mcm (193)
formation energy from raw total energies = -0.650 eV per atom
magnetic moment = 0.00 μB per formula unit
density of states at the Fermi level = 0.57 states/eV per atom
crystal system = hexagonal


[2]
Nb5Si2P: optimized geometry, PBE.

Lattice parameters (Å, degrees): 6.5684 6.5684 7.5489 115.79 115.79 90.00
Closest atoms and distances in Å follow each position.
Positions (direct):
P (0.2500, 0.2500, 0.5000)  10 Nb 2.72-2.98
Nb (0.9838, 0.4838, 0.3006)  3 Si 2.61-2.65, 2 P 2.72, 1 Nb 2.83
Nb (0.1831, 0.0162, 0.6994)  3 Si 2.61-2.65, 2 P 2.72, 1 Nb 2.83
Nb (0.5000, 0.5000, 0.0000)  4 Si 2.58
Nb (0.0162, 0.5162, 0.6994)  3 Si 2.61-2.65, 2 P 2.72, 1 Nb 2.83
Si (0.3708, 0.8708, 0.0000)  1 Si 2.40, 8 Nb 2.58-2.65
Si (0.8708, 0.6292, 0.0000)  1 Si 2.40, 8 Nb 2.58-2.65
P (0.7500, 0.7500, 0.5000)  10 Nb 2.72-2.98
Nb (0.0000, 0.0000, 0.0000)  4 Si 2.58
Si (0.6292, 0.1292, 0.0000)  1 Si 2.40, 8 Nb 2.58-2.65
Nb (0.3169, 0.8169, 0.3006)  3 Si 2.61-2.65, 2 P 2.72, 1 Nb 2.83
Nb (0.6831, 0.1831, 0.6994)  3 Si 2.61-2.65, 2 P 2.72, 1 Nb 2.83
Nb (0.4838, 0.3169, 0.3006)  3 Si 2.61-2.65, 2 P 2.72, 1 Nb 2.83
Nb (0.5162, 0.6831, 0.6994)  3 Si 2.61-2.65, 2 P 2.72, 1 Nb 2.83
Nb (0.8169, 0.9838, 0.3006)  3 Si 2.61-2.65, 2 P 2.72, 1 Nb 2.83
Si (0.1292, 0.3708, 0.0000)  1 Si 2.40, 8 Nb 2.58-2.65

Summary:
energy = -9.035 eV per atom
space group = I4/mcm (140)
formation energy from raw total energies = -0.709 eV per atom
magnetic moment = 0.00 μB per formula unit
density of states at the Fermi level = 0.68 states/eV per atom
crystal system = tetragonal


[3]
NbSiP3: optimized geometry, PBE.

Lattice parameters (Å, degrees): 4.8140 4.8140 4.8140 90.00 90.00 90.00
Closest atoms and distances in Å follow each position.
Positions (direct):
P (0.0000, 0.5000, 0.0000)  2 Nb 2.41
P (0.5000, 0.0000, 0.0000)  2 Nb 2.41
P (0.0000, 0.0000, 0.5000)  2 Nb 2.41
Nb (0.0000, 0.0000, 0.0000)  6 P 2.41
Si (0.5000, 0.5000, 0.5000)  12 P 3.40

Summary:
energy = -5.625 eV per atom
space group = Pm-3m (221)
formation energy from raw total energies = 0.719 eV per atom
magnetic moment = 0.00 μB per formula unit
density of states at the Fermi level = 0.74 states/eV per atom
crystal system = cubic


[4]
Y2NbSiP: optimized geometry, PBE.

Lattice parameters (Å, degrees): 5.2300 4.4847 5.2300 90.00 90.00 90.00
Closest atoms and distances in Å follow each position.
Positions (direct):
Nb (0.5000, 0.5000, 0.5000)  8 Y 3.44, 4 Si 3.70
P (0.0000, 0.0000, 0.0000)  2 Si 2.24
Si (0.0000, 0.5000, 0.0000)  2 P 2.24
Y (0.0000, 0.0000, 0.5000)  2 P 2.62
Y (0.5000, 0.0000, 0.0000)  2 P 2.62

Summary:
energy = -6.508 eV per atom
space group = P4/mmm (123)
formation energy from raw total energies = 0.258 eV per atom
magnetic moment = 2.57 μB per formula unit
density of states at the Fermi level = 1.06 states/eV per atom
crystal system = tetragonal


What is the formation energy from raw total energies in the fourth record? 0.258 eV per atom


What did the third record say?
NbSiP3: optimized geometry, PBE.

Lattice parameters (Å, degrees): 4.8140 4.8140 4.8140 90.00 90.00 90.00
Closest atoms and distances in Å follow each position.
Positions (direct):
P (0.0000, 0.5000, 0.0000)  2 Nb 2.41
P (0.5000, 0.0000, 0.0000)  2 Nb 2.41
P (0.0000, 0.0000, 0.5000)  2 Nb 2.41
Nb (0.0000, 0.0000, 0.0000)  6 P 2.41
Si (0.5000, 0.5000, 0.5000)  12 P 3.40

Summary:
energy = -5.625 eV per atom
space group = Pm-3m (221)
formation energy from raw total energies = 0.719 eV per atom
magnetic moment = 0.00 μB per formula unit
density of states at the Fermi level = 0.74 states/eV per atom
crystal system = cubic


Which value of density of states at the Fermi level does entry 3 give? 0.74 states/eV per atom


What is the formula in the first record? Nb5Si3P